## w
The following is a PBE calculation of Er4InCo after structural relaxation, from Alexandria via LeMat-Bulk.

Summary:
Density (Mg/m³): 8.37

The structure in POSCAR format:
```
Er4InCo
1.0
4.771 0.000 0.001
0.000 4.773 0.004
0.007 0.014 7.341
Co In Er
1 1 4
Direct
0.001 0.997 0.498
0.501 0.497 0.998
0.002 0.498 0.714
0.501 0.996 0.282
0.001 0.496 0.282
0.502 0.998 0.714
```



## x
The following is a PBE calculation of Er4InCo after structural relaxation, from Alexandria via LeMat-Bulk.

Summary:
Density (Mg/m³): 9.38

The structure in POSCAR format:
```
Er4InCo
1.0
1.460 -6.280 6.910
-3.272 -8.824 -0.865
6.021 -7.165 -1.321
Er Co In
16 4 4
Direct
0.939 0.939 0.561
0.810 0.190 0.810
0.190 0.190 0.810
0.939 0.561 0.939
0.190 0.810 0.810
0.939 0.561 0.561
0.190 0.810 0.190
0.561 0.939 0.561
0.561 0.939 0.939
0.810 0.190 0.190
0.403 0.403 0.403
0.403 0.790 0.403
0.403 0.403 0.790
0.810 0.810 0.190
0.561 0.561 0.939
0.790 0.403 0.403
0.610 0.171 0.610
0.610 0.610 0.610
0.171 0.610 0.610
0.610 0.610 0.171
0.167 0.498 0.167
0.167 0.167 0.167
0.498 0.167 0.167
0.167 0.167 0.498
```



Pick x: it beats the second-best structure by 0.248 eV/atom.



## w
The following is a PBE calculation of Er4In2Co after structural relaxation, from Alexandria via LeMat-Bulk.

Summary:
Density (Mg/m³): 8.16

The structure in POSCAR format:
```
Er4In2Co
1.0
-2.360 2.274 -3.659
-3.926 -2.853 0.760
0.228 5.698 6.690
Er In Co
4 2 1
Direct
0.500 0.000 0.000
0.828 0.828 0.657
0.000 0.500 0.000
0.172 0.172 0.343
0.363 0.363 0.726
0.637 0.637 0.274
0.000 0.000 0.000
```



## x
The following is a PBE calculation of Er4In2Co after structural relaxation, from Alexandria via LeMat-Bulk.

Summary:
Density (Mg/m³): 8.35

The structure in POSCAR format:
```
Er4In2Co
1.0
3.594 0.000 0.000
0.000 8.852 -1.380
0.000 -5.615 6.866
In Co Er
2 1 4
Direct
0.500 0.309 0.806
0.500 0.834 0.337
0.000 0.071 0.071
0.500 0.232 0.380
0.000 0.699 0.937
0.500 0.910 0.763
0.000 0.444 0.206
```



Pick x: it beats the second-best structure by 0.054 eV/atom.



## w
The following is a PBE calculation of ErScInCo after structural relaxation, from Alexandria via LeMat-Bulk.

Summary:
Density (Mg/m³): 7.66

The structure in POSCAR format:
```
ErScInCo
1.0
-0.539 2.436 4.229
-4.343 0.011 2.291
-0.565 -2.474 4.204
Co Sc In Er
1 1 1 1
Direct
0.250 0.250 0.250
0.000 0.000 0.000
0.750 0.750 0.750
0.500 0.500 0.500
```



## x
The following is a PBE calculation of ErScInCo after structural relaxation, from Alexandria via LeMat-Bulk.

Summary:
Density (Mg/m³): 7.84

The structure in POSCAR format:
```
ErScInCo
1.0
-1.063 1.497 2.679
-2.813 -1.609 -0.217
2.927 -5.706 4.351
Sc In Er Co
1 1 1 1
Direct
0.500 0.500 0.369
0.000 0.000 0.088
0.500 0.500 0.776
0.000 0.000 0.552
```



Pick x: it beats the second-best structure by 0.144 eV/atom.



## w
The following is a PBE calculation of Er6Co2Ir after structural relaxation, from Alexandria via LeMat-Bulk.

Summary:
Density (Mg/m³): 10.78

The structure in POSCAR format:
```
Er6Co2Ir
1.0
0.826 6.724 4.389
-4.208 1.610 -6.697
-3.997 -5.641 4.166
Co Er Ir
4 12 2
Direct
0.500 0.615 0.115
0.338 0.000 0.338
0.500 0.385 0.885
0.662 0.000 0.662
0.814 0.255 0.068
0.186 0.255 0.441
0.558 0.736 0.823
0.313 0.640 0.327
0.814 0.745 0.559
0.687 0.015 0.327
0.313 0.985 0.673
0.687 0.360 0.673
0.087 0.264 0.823
0.442 0.264 0.177
0.913 0.736 0.177
0.186 0.745 0.932
0.000 0.000 0.000
0.000 0.500 0.500
```



## x
The following is a PBE calculation of Er6Co2Ir after structural relaxation, from Alexandria via LeMat-Bulk.

Summary:
Density (Mg/m³): 9.93

The structure in POSCAR format:
```
Er6Co2Ir
1.0
-4.553 2.335 -3.934
-4.350 -5.291 1.894
-3.637 5.482 6.962
Er Co Ir
12 4 2
Direct
0.663 0.447 0.258
0.163 0.053 0.758
0.822 0.666 0.567
0.848 0.670 0.916
0.178 0.334 0.433
0.337 0.553 0.742
0.652 0.170 0.584
0.837 0.947 0.242
0.678 0.166 0.933
0.348 0.830 0.416
0.152 0.330 0.084
0.322 0.834 0.067
0.964 0.378 0.720
0.536 0.878 0.780
0.036 0.622 0.280
0.464 0.122 0.220
0.000 0.000 0.500
0.500 0.500 0.000
```



Pick w: it beats the second-best structure by 0.083 eV/atom.



## w
The following is a PBE calculation of Er4CoIr after structural relaxation, from Alexandria via LeMat-Bulk.

Summary:
Density (Mg/m³): 9.38

The structure in POSCAR format:
```
Er4CoIr
1.0
-3.963 -0.379 -6.387
0.501 -6.455 3.837
-3.555 4.904 4.466
Er Ir Co
8 2 2
Direct
0.289 0.493 0.796
0.811 0.007 0.804
0.243 0.947 0.704
0.757 0.453 0.696
0.243 0.539 0.296
0.697 0.493 0.204
0.203 0.007 0.196
0.757 0.061 0.304
0.497 0.997 0.500
0.747 0.747 0.000
0.003 0.503 0.500
0.253 0.253 0.000
```



## x
The following is a PBE calculation of Er4CoIr after structural relaxation, from Alexandria via LeMat-Bulk.

Summary:
Density (Mg/m³): 10.74

The structure in POSCAR format:
```
Er4CoIr
1.0
-5.401 -2.753 0.765
-1.118 3.028 -6.580
5.562 -5.443 0.075
Co Er Ir
2 8 2
Direct
0.749 0.999 0.998
0.251 0.001 0.002
0.351 0.950 0.642
0.649 0.050 0.358
0.989 0.763 0.121
0.209 0.309 0.358
0.791 0.691 0.642
0.631 0.358 0.121
0.011 0.237 0.879
0.369 0.642 0.879
0.387 0.637 0.274
0.613 0.363 0.726
```



Pick x: it beats the second-best structure by 0.090 eV/atom.



## w
The following is a PBE calculation of LaErCo2 after structural relaxation, from Alexandria via LeMat-Bulk.

Summary:
Density (Mg/m³): 8.89

The structure in POSCAR format:
```
LaErCo2
1.0
-1.167 -1.639 2.747
-2.714 -1.040 -1.773
3.394 -5.611 -1.906
La Co Er
1 2 1
Direct
0.500 0.500 0.500
0.000 0.000 0.766
0.000 0.000 0.234
0.500 0.500 0.000
```



## x
The following is a PBE calculation of LaErCo2 after structural relaxation, from Alexandria via LeMat-Bulk.

Summary:
Density (Mg/m³): 8.89

The structure in POSCAR format:
```
LaErCo2
1.0
-3.152 -3.518 0.961
1.582 -4.417 1.105
-0.453 -1.667 4.500
Co Er La
2 1 1
Direct
0.750 0.750 0.750
0.250 0.250 0.250
0.000 0.000 0.000
0.500 0.500 0.500
```



Pick w: it beats the second-best structure by 0.007 eV/atom.